# 1
# Zr4Fe2Si | Alexandria via LeMat-Bulk | PBE | relaxed
# formation energy (no corrections) = -0.129 eV per atom
# electronic total energy = -8.206 eV/atom
data_Zr4Fe2Si
_cell_length_a 9.0227
_cell_length_b 9.0227
_cell_length_c 3.2761
_cell_angle_alpha 90.00
_cell_angle_beta 90.00
_cell_angle_gamma 90.00
_space_group_name_H-M_alt 'P 42/m n m'
_space_group_IT_number 136
_space_group_name_Hall '-P 4n 2n'
loop_
_atom_site_label
_atom_site_type_symbol
_atom_site_fract_x
_atom_site_fract_y
_atom_site_fract_z
Zr1 Zr 0.0139 0.2610 0.0000
Fe1 Fe 0.1960 0.8040 0.5000
Si1 Si 0.0000 0.0000 0.5000


# 2
# CaFeGe2Te | Alexandria via LeMat-Bulk | PBE | relaxed
# formation energy (no corrections) = 1.271 eV per atom
# electronic total energy = -3.297 eV/atom
data_CaFeGe2Te
_cell_length_a 5.4296
_cell_length_b 5.4296
_cell_length_c 4.8859
_cell_angle_alpha 90.00
_cell_angle_beta 90.00
_cell_angle_gamma 90.00
_space_group_name_H-M_alt 'P 4/m m m'
_space_group_IT_number 123
_space_group_name_Hall '-P 4 2'
loop_
_atom_site_label
_atom_site_type_symbol
_atom_site_fract_x
_atom_site_fract_y
_atom_site_fract_z
Ca1 Ca 0.0000 0.0000 0.0000
Fe1 Fe 0.0000 0.0000 0.5000
Ge1 Ge 0.0000 0.5000 0.0000
Te1 Te 0.5000 0.5000 0.5000


# 3
# MnReTc2I | Alexandria via LeMat-Bulk | PBE | relaxed
# formation energy (no corrections) = 2.445 eV per atom
# electronic total energy = -6.335 eV/atom
data_MnReTc2I
_cell_length_a 4.7823
_cell_length_b 4.7823
_cell_length_c 4.6187
_cell_angle_alpha 90.00
_cell_angle_beta 90.00
_cell_angle_gamma 90.00
_space_group_name_H-M_alt 'P 4/m m m'
_space_group_IT_number 123
_space_group_name_Hall '-P 4 2'
loop_
_atom_site_label
_atom_site_type_symbol
_atom_site_fract_x
_atom_site_fract_y
_atom_site_fract_z
Mn1 Mn 0.0000 0.0000 0.0000
Re1 Re 0.5000 0.5000 0.0000
Tc1 Tc 0.0000 0.5000 0.5000
I1 I 0.0000 0.0000 0.5000


# 4
# BaTa2 | Alexandria via LeMat-Bulk | PBE | relaxed
# energy of formation = 2633 meV/atom
# electronic total energy = -5.909 eV/atom
# energy above the most stable polymorph in this dataset = 2.088 eV per atom
data_BaTa2
_cell_length_a 7.0329
_cell_length_b 7.0329
_cell_length_c 7.0329
_cell_angle_alpha 90.00
_cell_angle_beta 90.00
_cell_angle_gamma 90.00
_space_group_name_H-M_alt 'P a -3'
_space_group_IT_number 205
_space_group_name_Hall '-P 2ac 2ab 3'
loop_
_atom_site_label
_atom_site_type_symbol
_atom_site_fract_x
_atom_site_fract_y
_atom_site_fract_z
Ba1 Ba 0.0000 0.0000 0.0000
Ta1 Ta 0.1005 0.6005 0.8995